[1]
Below is crystalline AcPb2Au at its relaxed geometry, with properties calculated at the PBE level.

Unit cell a=5.005 b=4.859 c=4.859 alpha=90.00 beta=90.00 gamma=90.00
Positions (direct):
Au 0.500 0.000 0.000
Pb 0.000 0.500 0.000
Pb 0.000 0.000 0.500
Ac 0.500 0.500 0.500

For the spin magnetization, the calculation gives 0.0 μB/cell. The calculation puts the raw total energy at -4.117 eV per atom. The formation energy comes out at -0.416 eV per atom. The value obtained for the excess energy over the best structure of this formula in the dataset is 107 meV/atom. Its space group is P4/mmm.

[2]
Below is crystalline AcPb2Au2 at its relaxed geometry, with properties calculated at the PBE level.

Unit cell a=4.845 b=5.076 c=11.472 alpha=89.67 beta=90.00 gamma=90.00
Positions (direct):
Pb 0.250 0.215 0.495
Pb 0.750 0.159 0.123
Pb 0.250 0.841 0.877
Pb 0.750 0.785 0.505
Au 0.250 0.666 0.645
Au 0.250 0.332 0.002
Au 0.750 0.334 0.355
Au 0.750 0.668 0.998
Ac 0.250 0.707 0.233
Ac 0.750 0.293 0.767

For the spin magnetization, the calculation gives 0.0 μB/cell. The calculation puts the raw total energy at -4.063 eV per atom. The formation energy comes out at -0.447 eV per atom. Its space group is P2_1/m.

[3]
Below is crystalline Ac8Pb5Au at its relaxed geometry, with properties calculated at the PBE level.

Unit cell a=8.850 b=8.850 c=8.850 alpha=110.06 beta=108.29 gamma=110.06
Positions (direct):
Ac 0.995 0.126 0.736
Ac 0.485 0.608 0.239
Ac 0.264 0.259 0.390
Ac 0.761 0.246 0.369
Ac 0.631 0.392 0.877
Ac 0.610 0.874 0.869
Ac 0.123 0.754 0.515
Ac 0.131 0.741 0.005
Pb 0.755 0.629 0.626
Pb 0.374 0.129 0.002
Pb 0.998 0.371 0.126
Pb 0.500 0.000 0.500
Pb 0.874 0.871 0.245
Au 0.250 0.500 0.750

For the spin magnetization, the calculation gives 0.0 μB/cell. The calculation puts the raw total energy at -4.447 eV per atom. The formation energy comes out at -0.541 eV per atom. Its space group is I-4.

[4]
Below is crystalline Ac3Pb2Au at its relaxed geometry, with properties calculated at the PBE level.

Unit cell a=4.902 b=13.010 c=13.456 alpha=90.00 beta=90.00 gamma=90.00
Positions (direct):
Ac 0.750 0.872 0.447
Ac 0.750 0.628 0.947
Ac 0.250 0.449 0.376
Ac 0.750 0.949 0.124
Ac 0.250 0.372 0.053
Ac 0.250 0.128 0.553
Ac 0.250 0.051 0.876
Ac 0.250 0.699 0.230
Ac 0.750 0.199 0.270
Ac 0.750 0.301 0.770
Ac 0.250 0.801 0.730
Ac 0.750 0.551 0.624
Pb 0.750 0.309 0.500
Pb 0.750 0.191 0.000
Pb 0.250 0.691 0.500
Pb 0.250 0.809 0.000
Pb 0.750 0.006 0.687
Pb 0.250 0.994 0.313
Pb 0.250 0.506 0.813
Pb 0.750 0.494 0.187
Au 0.750 0.865 0.873
Au 0.250 0.365 0.627
Au 0.750 0.635 0.373
Au 0.250 0.135 0.127

For the spin magnetization, the calculation gives 0.0 μB/cell. The calculation puts the raw total energy at -4.434 eV per atom. The formation energy comes out at -0.597 eV per atom. The value obtained for the excess energy over the best structure of this formula in the dataset is 0 meV/atom. Its space group is Pnma.